Ti3NiSn2P6O24 after structural relaxation. Source: Alexandria, functional PBE+U.

Cell lengths 9.178, 9.178, 9.178 Å; angles 55.29, 55.29, 55.29 degrees
Atoms (fractional coordinates):
Ti1 0.000 0.000 0.000
Ti2 0.208 0.208 0.208
Ti3 0.510 0.510 0.510
Ni1 0.699 0.699 0.699
Sn1 0.369 0.369 0.369
Sn2 0.832 0.832 0.832
P1 0.109 0.819 0.385
P2 0.319 0.603 0.897
P3 0.385 0.109 0.819
P4 0.603 0.897 0.319
P5 0.819 0.385 0.109
P6 0.897 0.319 0.603
O1 0.078 0.245 0.447
O2 0.095 0.842 0.214
O3 0.157 0.798 0.901
O4 0.160 0.972 0.347
O5 0.214 0.095 0.842
O6 0.245 0.447 0.078
O7 0.272 0.623 0.436
O8 0.347 0.160 0.972
O9 0.349 0.581 0.721
O10 0.436 0.272 0.623
O11 0.447 0.078 0.245
O12 0.500 0.582 0.888
O13 0.560 0.919 0.817
O14 0.581 0.721 0.349
O15 0.582 0.888 0.500
O16 0.623 0.436 0.272
O17 0.721 0.349 0.581
O18 0.798 0.901 0.157
O19 0.817 0.560 0.919
O20 0.842 0.214 0.095
O21 0.888 0.500 0.582
O22 0.901 0.157 0.798
O23 0.919 0.817 0.560
O24 0.972 0.347 0.160

* VASP energy: -268.6 eV for the cell shown
* V: 486.8 Å³/cell
* D(E_F): 0.000 states/eV/f.u.
* space-group type: R3